Computed, not measured: an optimized crystal structure of Zr3SnI at the PBE level of DFT.

Cell lengths 5.235, 5.235, 5.235 Å; angles 90.00, 90.00, 90.00 degrees
Sites, in units of the cell vectors:
Zr: 0.000 0.500 0.000
Sn: 0.500 0.500 0.500
Zr: 0.500 0.000 0.000
Zr: 0.000 0.000 0.500
I: 0.000 0.000 0.000

The calculation puts the total energy at -5.46 eV per atom. Its formation energy without anion corrections is 0.775 eV per atom. Its theoretical density is 6.01 g cm⁻³. Its density of states at the Fermi level is 11.67 states/eV/cell.

=====

Computed, not measured: an optimized crystal structure of PmSm2Pd3 at the PBE level of DFT.

Cell lengths 4.164, 5.888, 7.226 Å; angles 114.04, 106.74, 90.00 degrees
Sites, in units of the cell vectors:
Sm: 0.334 0.834 0.667
Pd: 0.000 0.000 0.000
Pd: 0.332 0.332 0.665
Pd: 0.668 0.668 0.335
Pm: 0.000 0.500 0.000
Sm: 0.666 0.166 0.333

Its formation energy is -693 meV per atom. The calculation puts the total energy at -5.65 eV per atom. Its theoretical density is 8.27 g cm⁻³. Its density of states at the Fermi level is 4.08 states/eV/cell.

=====

Computed, not measured: an optimized crystal structure of Rb2MnAsI6 at the PBE level of DFT.

Cell lengths 8.268, 8.268, 8.298 Å; angles 60.12, 60.12, 90.00 degrees
Site moments in Bohr magnetons follow the coordinates.
Sites, in units of the cell vectors:
Rb: 0.250 0.750 0.500  0.00
I: 0.749 0.251 0.000  0.02
As: 0.000 0.000 0.000  0.03
I: 0.251 0.251 0.000  0.02
Mn: 0.500 0.500 0.000  4.16
I: 0.749 0.749 0.000  0.02
I: 0.251 0.749 0.000  0.02
Rb: 0.750 0.250 0.500  0.00
I: 0.741 0.741 0.518  0.01
I: 0.259 0.259 0.482  0.01

The calculation puts the total energy at -3.16 eV per atom. Its formation energy without anion corrections is -0.658 eV per atom. Its theoretical density is 4.38 g cm⁻³. Its density of states at the Fermi level is 4.00 states/eV/cell.

=====

Computed, not measured: an optimized crystal structure of MgTc2Te at the PBE level of DFT.

Cell lengths 5.406, 5.406, 5.406 Å; angles 144.47, 131.75, 61.33 degrees
Sites, in units of the cell vectors:
Te: 0.516 0.516 0.000
Tc: 0.748 0.248 0.500
Tc: 0.990 0.990 0.000
Mg: 0.245 0.745 0.500

The calculation puts the total energy at -6.05 eV per atom. Its formation energy without anion corrections is 0.319 eV per atom. Its theoretical density is 8.52 g cm⁻³. Its density of states at the Fermi level is 3.14 states/eV/cell.

=====

Computed, not measured: an optimized crystal structure of LiCaZr2Hg at the PBE level of DFT.

Cell lengths 4.821, 5.190, 4.821 Å; angles 90.00, 90.00, 90.00 degrees
Sites, in units of the cell vectors:
Zr: 0.000 0.000 0.500
Li: 0.000 0.000 0.000
Hg: 0.500 0.500 0.500
Zr: 0.500 0.000 0.000
Ca: 0.000 0.500 0.000

Its formation energy is 666 meV per atom. The calculation puts the total energy at -3.60 eV per atom. Its theoretical density is 5.92 g cm⁻³. Its density of states at the Fermi level is 6.97 states/eV/cell.

=====

Computed, not measured: an optimized crystal structure of TbPmNdEu at the PBE level of DFT.

Cell lengths 5.845, 5.845, 5.845 Å; angles 60.00, 60.00, 60.00 degrees
Site moments in Bohr magnetons follow the coordinates.
Sites, in units of the cell vectors:
Tb: 0.750 0.750 0.750  0.24
Nd: 0.250 0.250 0.250  0.20
Pm: 0.500 0.500 0.500  0.22
Eu: 0.000 0.000 0.000  6.90

Its formation energy is 150 meV per atom. The calculation puts the total energy at -5.96 eV per atom. Its theoretical density is 7.06 g cm⁻³. Its density of states at the Fermi level is 6.75 states/eV/cell.

=====

Computed, not measured: an optimized crystal structure of LiCdOs2 at the PBE level of DFT.

Cell lengths 5.284, 5.284, 5.284 Å; angles 148.09, 127.22, 63.02 degrees
Sites, in units of the cell vectors:
Li: 0.244 0.744 0.500
Os: 0.765 0.265 0.500
Os: 0.995 0.995 0.000
Cd: 0.496 0.496 0.000

Its formation energy is 563 meV per atom. The calculation puts the total energy at -5.76 eV per atom. Its theoretical density is 13.50 g cm⁻³. Its density of states at the Fermi level is 2.79 states/eV/cell.

=====

Computed, not measured: an optimized crystal structure of ZrCd2Cu2 at the PBE level of DFT.

Cell lengths 3.737, 3.737, 7.235 Å; angles 75.03, 75.03, 90.00 degrees
Sites, in units of the cell vectors:
Cu: 0.250 0.750 0.500
Cd: 0.610 0.610 0.779
Zr: 0.000 0.000 0.000
Cu: 0.750 0.250 0.500
Cd: 0.390 0.390 0.221

Its formation energy is 198 meV per atom. The calculation puts the total energy at -3.52 eV per atom. Its theoretical density is 7.82 g cm⁻³. Its density of states at the Fermi level is 2.26 states/eV/cell.

=====

total energy of number 1 (Zr3SnI)? -5.46 eV per atom